Record 1
NbCuPt14 | PBE | optimized geometry

E in eV/atom: -6.389
Theoretical density in Mg/m³: 19.22
SG: P4/mmm

Geometry as POSCAR:
```
NbCuPt14
1.0
-2.087 -1.131 5.115
5.219 -0.923 1.925
0.628 7.580 1.932
Nb Cu Pt
1 1 14
direct
0.875 0.875 0.500
0.375 0.375 0.500
0.875 0.875 0.000
0.375 0.375 0.000
0.875 0.375 0.500
0.875 0.375 0.000
0.375 0.875 0.500
0.375 0.875 0.000
0.625 0.125 0.256
0.625 0.125 0.744
0.125 0.625 0.256
0.125 0.625 0.744
0.625 0.625 0.256
0.625 0.625 0.744
0.125 0.125 0.256
0.125 0.125 0.744
```


Record 2
Sc2CuTc | PBE | optimized geometry

E in eV/atom: -7.032
Theoretical density in Mg/m³: 6.13
SG: Fm-3m

Geometry as POSCAR:
```
Sc2CuTc
1.0
-1.359 2.363 3.685
-2.206 -2.133 3.405
2.083 -0.644 4.032
Sc Tc Cu
2 1 1
direct
0.500 0.500 0.500
0.000 0.000 0.000
0.750 0.750 0.750
0.250 0.250 0.250
```


Record 3
Tl3H2F2 | PBE | optimized geometry

E in eV/atom: -3.212
Theoretical density in Mg/m³: 7.49
SG: P-1

Geometry as POSCAR:
```
Tl3H2F2
1.0
-2.954 2.249 0.884
-4.058 -5.305 0.107
-0.899 -3.405 5.571
Tl H F
3 2 2
direct
0.000 0.000 0.000
0.492 0.319 0.361
0.508 0.681 0.639
0.994 0.155 0.690
0.006 0.845 0.310
0.497 0.264 0.000
0.503 0.736 0.000
```


Record 4
InTc2Rh2 | PBE | optimized geometry

E in eV/atom: -7.470
Theoretical density in Mg/m³: 10.52
Energy above the lowest structure with this stoichiometry in kJ per mole of atoms: 0.0
SG: P4/mbm

Geometry as POSCAR:
```
InTc2Rh2
1.0
-4.795 3.313 4.924
2.189 -4.896 5.426
2.026 1.772 0.781
Rh Tc In
4 4 2
direct
0.172 0.672 0.500
0.672 0.828 0.500
0.828 0.328 0.500
0.328 0.172 0.500
0.383 0.883 0.000
0.883 0.617 0.000
0.617 0.117 0.000
0.117 0.383 0.000
0.000 0.000 0.000
0.500 0.500 0.000
```